# 1
# Cr3CdSn, relaxed, DFT PBE
data_Cr3CdSn
_space_group_name_H-M_alt 'P 1'
_space_group_IT_number 1
_cell_length_a 5.164
_cell_length_b 5.164
_cell_length_c 5.164
_cell_angle_alpha 90.00
_cell_angle_beta 90.00
_cell_angle_gamma 90.00
loop_
_space_group_symop_operation_xyz
'x,y,z'
loop_
_atom_site_label
_atom_site_type_symbol
_atom_site_fract_x
_atom_site_fract_y
_atom_site_fract_z
_atom_site_occupancy
Cr1 Cr 0.000 0.000 0.500 1
Cr2 Cr 0.000 0.500 0.000 1
Cr3 Cr 0.500 0.000 0.000 1
Cd1 Cd 0.500 0.500 0.500 1
Sn1 Sn 0.000 0.000 0.000 1
# - ρ (Mg/m³) = 4.67
# - DFT formation energy (eV/atom) = 1.253
# - distance to the lowest polymorph of the same formula (eV per atom) = 0.0000

=====

# 2
# CrCdSn2, relaxed, DFT PBE
data_CrCdSn2
_space_group_name_H-M_alt 'P 1'
_space_group_IT_number 1
_cell_length_a 9.940
_cell_length_b 9.940
_cell_length_c 9.940
_cell_angle_alpha 153.16
_cell_angle_beta 153.16
_cell_angle_gamma 38.32
loop_
_space_group_symop_operation_xyz
'x,y,z'
loop_
_atom_site_label
_atom_site_type_symbol
_atom_site_fract_x
_atom_site_fract_y
_atom_site_fract_z
_atom_site_occupancy
Cr1 Cr 0.000 0.000 0.000 1
Cr2 Cr 0.750 0.250 0.500 1
Cd1 Cd 0.250 0.750 0.500 1
Cd2 Cd 0.500 0.500 0.000 1
Sn1 Sn 0.099 0.625 0.974 1
Sn2 Sn 0.375 0.349 0.474 1
Sn3 Sn 0.651 0.125 0.026 1
Sn4 Sn 0.875 0.901 0.526 1
# - ρ (Mg/m³) = 6.68
# - DFT formation energy (eV/atom) = 0.346

=====

# 3
# CrCdSn2Te, relaxed, DFT PBE
data_CrCdSn2Te
_space_group_name_H-M_alt 'P 1'
_space_group_IT_number 1
_cell_length_a 5.957
_cell_length_b 5.957
_cell_length_c 5.035
_cell_angle_alpha 90.00
_cell_angle_beta 90.00
_cell_angle_gamma 90.00
loop_
_space_group_symop_operation_xyz
'x,y,z'
loop_
_atom_site_label
_atom_site_type_symbol
_atom_site_fract_x
_atom_site_fract_y
_atom_site_fract_z
_atom_site_occupancy
Cr1 Cr 0.000 0.000 0.000 1
Cd1 Cd 0.500 0.500 0.000 1
Sn1 Sn 0.000 0.500 0.500 1
Sn2 Sn 0.500 0.000 0.500 1
Te1 Te 0.000 0.000 0.500 1
# - E_form (uncorrected) (eV per formula unit) = 3.689
# - ρ (Mg/m³) = 4.92

=====

# 4
# SrCr2Cd, relaxed, DFT PBE
data_SrCr2Cd
_space_group_name_H-M_alt 'P 1'
_space_group_IT_number 1
_cell_length_a 2.784
_cell_length_b 2.784
_cell_length_c 9.577
_cell_angle_alpha 90.00
_cell_angle_beta 90.00
_cell_angle_gamma 90.21
loop_
_space_group_symop_operation_xyz
'x,y,z'
loop_
_atom_site_label
_atom_site_type_symbol
_atom_site_fract_x
_atom_site_fract_y
_atom_site_fract_z
_atom_site_occupancy
Sr1 Sr 0.000 0.000 0.000 1
Cr1 Cr 0.500 0.500 0.277 1
Cr2 Cr 0.500 0.500 0.723 1
Cd1 Cd 0.000 0.000 0.500 1
# - ρ (Mg/m³) = 6.80
# - DFT formation energy (eV/atom) = 1.226

=====

# 5
# SrCr2Cd, relaxed, DFT PBE
data_SrCr2Cd
_space_group_name_H-M_alt 'P 1'
_space_group_IT_number 1
_cell_length_a 5.223
_cell_length_b 5.223
_cell_length_c 5.223
_cell_angle_alpha 121.37
_cell_angle_beta 121.37
_cell_angle_gamma 87.64
loop_
_space_group_symop_operation_xyz
'x,y,z'
loop_
_atom_site_label
_atom_site_type_symbol
_atom_site_fract_x
_atom_site_fract_y
_atom_site_fract_z
_atom_site_occupancy
Sr1 Sr 0.000 0.000 0.000 1
Cr1 Cr 0.500 0.500 0.000 1
Cr2 Cr 0.750 0.250 0.500 1
Cd1 Cd 0.250 0.750 0.500 1
# - ρ (Mg/m³) = 5.12
# - DFT formation energy (eV/atom) = 0.752

=====

# 6
# SrCr2Cd, relaxed, DFT PBE
data_SrCr2Cd
_space_group_name_H-M_alt 'P 1'
_space_group_IT_number 1
_cell_length_a 5.432
_cell_length_b 5.432
_cell_length_c 5.432
_cell_angle_alpha 133.99
_cell_angle_beta 121.85
_cell_angle_gamma 77.15
loop_
_space_group_symop_operation_xyz
'x,y,z'
loop_
_atom_site_label
_atom_site_type_symbol
_atom_site_fract_x
_atom_site_fract_y
_atom_site_fract_z
_atom_site_occupancy
Sr1 Sr 0.000 0.000 0.000 1
Cr1 Cr 0.553 0.553 0.000 1
Cr2 Cr 0.717 0.217 0.500 1
Cd1 Cd 0.288 0.788 0.500 1
# - ρ (Mg/m³) = 5.30
# - DFT formation energy (eV/atom) = 0.538

=====

# 7
# SrCrCd, relaxed, DFT PBE
data_SrCrCd
_space_group_name_H-M_alt 'P 1'
_space_group_IT_number 1
_cell_length_a 5.359
_cell_length_b 5.359
_cell_length_c 5.359
_cell_angle_alpha 60.00
_cell_angle_beta 60.00
_cell_angle_gamma 60.00
loop_
_space_group_symop_operation_xyz
'x,y,z'
loop_
_atom_site_label
_atom_site_type_symbol
_atom_site_fract_x
_atom_site_fract_y
_atom_site_fract_z
_atom_site_occupancy
Sr1 Sr 0.000 0.000 0.000 1
Cr1 Cr 0.750 0.750 0.750 1
Cd1 Cd 0.250 0.250 0.250 1
# - ρ (Mg/m³) = 3.85
# - DFT formation energy (eV/atom) = 0.836
# - distance to the lowest polymorph of the same formula (eV per atom) = 0.5166

=====

# 8
# SrCr2Cd, relaxed, DFT PBE
data_SrCr2Cd
_space_group_name_H-M_alt 'P 1'
_space_group_IT_number 1
_cell_length_a 3.489
_cell_length_b 3.853
_cell_length_c 7.370
_cell_angle_alpha 90.00
_cell_angle_beta 90.00
_cell_angle_gamma 90.00
loop_
_space_group_symop_operation_xyz
'x,y,z'
loop_
_atom_site_label
_atom_site_type_symbol
_atom_site_fract_x
_atom_site_fract_y
_atom_site_fract_z
_atom_site_occupancy
Sr1 Sr 0.000 0.000 0.000 1
Cr1 Cr 0.500 0.500 0.304 1
Cr2 Cr 0.500 0.500 0.696 1
Cd1 Cd 0.000 0.000 0.500 1
# - ρ (Mg/m³) = 5.10
# - DFT formation energy (eV/atom) = 0.698

=====

# 9
# SrCr2Cd, relaxed, DFT PBE
data_SrCr2Cd
_space_group_name_H-M_alt 'P 1'
_space_group_IT_number 1
_cell_length_a 6.119
_cell_length_b 6.119
_cell_length_c 6.119
_cell_angle_alpha 46.23
_cell_angle_beta 46.23
_cell_angle_gamma 46.23
loop_
_space_group_symop_operation_xyz
'x,y,z'
loop_
_atom_site_label
_atom_site_type_symbol
_atom_site_fract_x
_atom_site_fract_y
_atom_site_fract_z
_atom_site_occupancy
Sr1 Sr 0.000 0.000 0.000 1
Cr1 Cr 0.198 0.198 0.198 1
Cr2 Cr 0.802 0.802 0.802 1
Cd1 Cd 0.500 0.500 0.500 1
# - ρ (Mg/m³) = 4.63
# - DFT formation energy (eV/atom) = 0.635

=====

# 10
# SrCrCd2, relaxed, DFT PBE
data_SrCrCd2
_space_group_name_H-M_alt 'P 1'
_space_group_IT_number 1
_cell_length_a 3.762
_cell_length_b 3.762
_cell_length_c 7.441
_cell_angle_alpha 90.00
_cell_angle_beta 90.00
_cell_angle_gamma 90.00
loop_
_space_group_symop_operation_xyz
'x,y,z'
loop_
_atom_site_label
_atom_site_type_symbol
_atom_site_fract_x
_atom_site_fract_y
_atom_site_fract_z
_atom_site_occupancy
Sr1 Sr 0.000 0.000 0.000 1
Cr1 Cr 0.500 0.500 0.692 1
Cd1 Cd 0.000 0.000 0.531 1
Cd2 Cd 0.500 0.500 0.297 1
# - ρ (Mg/m³) = 5.75
# - DFT formation energy (eV/atom) = 0.227

=====

# 11
# SrCr2Cd, relaxed, DFT PBE
data_SrCr2Cd
_space_group_name_H-M_alt 'P 1'
_space_group_IT_number 1
_cell_length_a 3.070
_cell_length_b 5.004
_cell_length_c 6.096
_cell_angle_alpha 90.00
_cell_angle_beta 98.54
_cell_angle_gamma 90.00
loop_
_space_group_symop_operation_xyz
'x,y,z'
loop_
_atom_site_label
_atom_site_type_symbol
_atom_site_fract_x
_atom_site_fract_y
_atom_site_fract_z
_atom_site_occupancy
Sr1 Sr 0.000 0.000 0.000 1
Cr1 Cr 0.280 0.500 0.622 1
Cr2 Cr 0.720 0.500 0.378 1
Cd1 Cd 0.500 0.000 0.500 1
# - ρ (Mg/m³) = 5.45
# - DFT formation energy (eV/atom) = 0.799

=====

# 12
# SrCr2Cd, relaxed, DFT PBE
data_SrCr2Cd
_space_group_name_H-M_alt 'P 1'
_space_group_IT_number 1
_cell_length_a 4.481
_cell_length_b 4.481
_cell_length_c 6.462
_cell_angle_alpha 110.37
_cell_angle_beta 110.37
_cell_angle_gamma 60.11
loop_
_space_group_symop_operation_xyz
'x,y,z'
loop_
_atom_site_label
_atom_site_type_symbol
_atom_site_fract_x
_atom_site_fract_y
_atom_site_fract_z
_atom_site_occupancy
Sr1 Sr 0.000 0.000 0.000 1
Cr1 Cr 0.201 0.201 0.602 1
Cr2 Cr 0.530 0.530 0.592 1
Cd1 Cd 0.799 0.799 0.397 1
# - ρ (Mg/m³) = 4.90
# - DFT formation energy (eV/atom) = 0.363

=====

# 13
# Sr2CrCd2, relaxed, DFT PBE
data_Sr2CrCd2
_space_group_name_H-M_alt 'P 1'
_space_group_IT_number 1
_cell_length_a 8.872
_cell_length_b 8.872
_cell_length_c 3.951
_cell_angle_alpha 90.00
_cell_angle_beta 90.00
_cell_angle_gamma 90.00
loop_
_space_group_symop_operation_xyz
'x,y,z'
loop_
_atom_site_label
_atom_site_type_symbol
_atom_site_fract_x
_atom_site_fract_y
_atom_site_fract_z
_atom_site_occupancy
Sr1 Sr 0.166 0.334 0.000 1
Sr2 Sr 0.334 0.834 0.000 1
Sr3 Sr 0.666 0.166 0.000 1
Sr4 Sr 0.834 0.666 0.000 1
Cr1 Cr 0.000 0.000 0.000 1
Cr2 Cr 0.500 0.500 0.000 1
Cd1 Cd 0.132 0.632 0.500 1
Cd2 Cd 0.368 0.132 0.500 1
Cd3 Cd 0.632 0.868 0.500 1
Cd4 Cd 0.868 0.368 0.500 1
# - ρ (Mg/m³) = 4.83
# - DFT formation energy (eV/atom) = 0.800
# - distance to the lowest polymorph of the same formula (eV per atom) = 0.5216

=====

# 14
# SrCr2Cd, relaxed, DFT PBE
data_SrCr2Cd
_space_group_name_H-M_alt 'P 1'
_space_group_IT_number 1
_cell_length_a 3.276
_cell_length_b 3.276
_cell_length_c 8.007
_cell_angle_alpha 90.00
_cell_angle_beta 90.00
_cell_angle_gamma 90.00
loop_
_space_group_symop_operation_xyz
'x,y,z'
loop_
_atom_site_label
_atom_site_type_symbol
_atom_site_fract_x
_atom_site_fract_y
_atom_site_fract_z
_atom_site_occupancy
Sr1 Sr 0.000 0.000 0.000 1
Cr1 Cr 0.000 0.000 0.567 1
Cr2 Cr 0.500 0.500 0.686 1
Cd1 Cd 0.500 0.500 0.327 1
# - ρ (Mg/m³) = 5.88
# - DFT formation energy (eV/atom) = 0.378

=====

# 15
# SrCrCd2, relaxed, DFT PBE
data_SrCrCd2
_space_group_name_H-M_alt 'P 1'
_space_group_IT_number 1
_cell_length_a 3.507
_cell_length_b 4.621
_cell_length_c 6.851
_cell_angle_alpha 90.00
_cell_angle_beta 104.72
_cell_angle_gamma 90.00
loop_
_space_group_symop_operation_xyz
'x,y,z'
loop_
_atom_site_label
_atom_site_type_symbol
_atom_site_fract_x
_atom_site_fract_y
_atom_site_fract_z
_atom_site_occupancy
Sr1 Sr 0.000 0.000 0.000 1
Cr1 Cr 0.317 0.500 0.643 1
Cd1 Cd 0.629 0.500 0.259 1
Cd2 Cd 0.750 0.000 0.516 1
# - ρ (Mg/m³) = 5.64
# - DFT formation energy (eV/atom) = 0.251

=====

# 16
# SrCr2Cd, relaxed, DFT PBE
data_SrCr2Cd
_space_group_name_H-M_alt 'P 1'
_space_group_IT_number 1
_cell_length_a 9.874
_cell_length_b 9.874
_cell_length_c 9.874
_cell_angle_alpha 20.42
_cell_angle_beta 20.42
_cell_angle_gamma 20.42
loop_
_space_group_symop_operation_xyz
'x,y,z'
loop_
_atom_site_label
_atom_site_type_symbol
_atom_site_fract_x
_atom_site_fract_y
_atom_site_fract_z
_atom_site_occupancy
Sr1 Sr 0.000 0.000 0.000 1
Cr1 Cr 0.239 0.239 0.239 1
Cr2 Cr 0.761 0.761 0.761 1
Cd1 Cd 0.500 0.500 0.500 1
# - ρ (Mg/m³) = 4.92
# - DFT formation energy (eV/atom) = 0.928

=====

# 17
# SrCrCd2, relaxed, DFT PBE
data_SrCrCd2
_space_group_name_H-M_alt 'P 1'
_space_group_IT_number 1
_cell_length_a 3.600
_cell_length_b 3.691
_cell_length_c 7.631
_cell_angle_alpha 90.00
_cell_angle_beta 90.00
_cell_angle_gamma 90.00
loop_
_space_group_symop_operation_xyz
'x,y,z'
loop_
_atom_site_label
_atom_site_type_symbol
_atom_site_fract_x
_atom_site_fract_y
_atom_site_fract_z
_atom_site_occupancy
Sr1 Sr 0.000 0.000 0.000 1
Cr1 Cr 0.000 0.000 0.500 1
Cd1 Cd 0.500 0.500 0.303 1
Cd2 Cd 0.500 0.500 0.697 1
# - ρ (Mg/m³) = 5.97
# - DFT formation energy (eV/atom) = 0.149

=====

# 18
# SrCrCd2, relaxed, DFT PBE
data_SrCrCd2
_space_group_name_H-M_alt 'P 1'
_space_group_IT_number 1
_cell_length_a 6.207
_cell_length_b 6.207
_cell_length_c 6.207
_cell_angle_alpha 45.83
_cell_angle_beta 45.83
_cell_angle_gamma 45.83
loop_
_space_group_symop_operation_xyz
'x,y,z'
loop_
_atom_site_label
_atom_site_type_symbol
_atom_site_fract_x
_atom_site_fract_y
_atom_site_fract_z
_atom_site_occupancy
Sr1 Sr 0.000 0.000 0.000 1
Cr1 Cr 0.500 0.500 0.500 1
Cd1 Cd 0.206 0.206 0.206 1
Cd2 Cd 0.794 0.794 0.794 1
# - ρ (Mg/m³) = 5.39
# - DFT formation energy (eV/atom) = 0.127

=====

# 19
# Sr2CrCd2, relaxed, DFT PBE
data_Sr2CrCd2
_space_group_name_H-M_alt 'P 1'
_space_group_IT_number 1
_cell_length_a 10.254
_cell_length_b 10.254
_cell_length_c 10.254
_cell_angle_alpha 156.57
_cell_angle_beta 156.57
_cell_angle_gamma 33.38
loop_
_space_group_symop_operation_xyz
'x,y,z'
loop_
_atom_site_label
_atom_site_type_symbol
_atom_site_fract_x
_atom_site_fract_y
_atom_site_fract_z
_atom_site_occupancy
Sr1 Sr 0.101 0.101 0.000 1
Sr2 Sr 0.899 0.899 0.000 1
Cr1 Cr 0.500 0.500 0.000 1
Cd1 Cd 0.250 0.750 0.500 1
Cd2 Cd 0.750 0.250 0.500 1
# - ρ (Mg/m³) = 4.41
# - DFT formation energy (eV/atom) = 0.279
# - distance to the lowest polymorph of the same formula (eV per atom) = 0.0000

=====

# 20
# SrCrCd2, relaxed, DFT PBE
data_SrCrCd2
_space_group_name_H-M_alt 'P 1'
_space_group_IT_number 1
_cell_length_a 10.507
_cell_length_b 10.507
_cell_length_c 10.507
_cell_angle_alpha 151.84
_cell_angle_beta 151.84
_cell_angle_gamma 40.24
loop_
_space_group_symop_operation_xyz
'x,y,z'
loop_
_atom_site_label
_atom_site_type_symbol
_atom_site_fract_x
_atom_site_fract_y
_atom_site_fract_z
_atom_site_occupancy
Sr1 Sr 0.000 0.000 0.000 1
Sr2 Sr 0.750 0.250 0.500 1
Cr1 Cr 0.250 0.750 0.500 1
Cr2 Cr 0.500 0.500 0.000 1
Cd1 Cd 0.264 0.625 0.139 1
Cd2 Cd 0.375 0.514 0.639 1
Cd3 Cd 0.486 0.125 0.861 1
Cd4 Cd 0.875 0.736 0.361 1
# - ρ (Mg/m³) = 4.70
# - DFT formation energy (eV/atom) = 0.370